Pr2In3Au2: optimized geometry, PBE.

```
Pr2In3Au2
1.0
4.694 0.000 0.000
0.000 20.853 0.000
0.000 0.000 3.761
Pr In Au
4 6 4
Cartesian
0.000 3.438 0.000 Pr
0.000 17.415 0.000 Pr
2.347 6.989 0.000 Pr
2.347 13.864 0.000 Pr
0.000 0.000 0.000 In
0.000 8.928 1.880 In
0.000 11.925 1.880 In
2.347 1.499 1.880 In
2.347 10.427 0.000 In
2.347 19.354 1.880 In
0.000 6.044 1.880 Au
0.000 14.810 1.880 Au
2.347 4.383 1.880 Au
2.347 16.470 1.880 Au
```

Calculated values
space-group type	No. 65
calculated density	9.2	g cm⁻³
total magnetic moment	0.00	μB/cell
E_form	-0.54	eV/atom